(1)
CaTbSmIn | PBE | optimized geometry

```
CaTbSmIn
1.0
-2.895 1.633 -4.431
-5.076 -2.030 -0.894
-4.436 3.256 0.636
Ca In Tb Sm
1 1 1 1
Cartesian
-9.306 2.145 -3.516
-3.102 0.715 -1.172
-6.204 1.430 -2.344
0.000 0.000 0.000
```

Properties
As for the symmetry: No. 216. The calculation puts the calculated formation energy at -0.1609 eV/atom. The value obtained for the total energy is -14.73 eV per cell. Its magnetic moment is 0.00 Bohr magnetons per cell.


(2)
CrSbSe2 | PBE | optimized geometry

```
CrSbSe2
1.0
2.448 0.000 8.026
-1.224 2.120 8.026
-1.224 -2.120 8.026
Se Sb Cr
2 1 1
Cartesian
0.000 0.000 2.458
0.000 0.000 21.620
0.000 0.000 12.039
0.000 0.000 0.000
```

Properties
As for the symmetry: No. 166. The value obtained for the total energy is -20.03 eV per cell. Its magnetic moment is 4.97 Bohr magnetons per cell. The calculation puts the energy relative to the elements, uncorrected at 0.17 eV per atom. The excess energy over the best structure of this formula in the dataset is 487 meV/atom.


(3)
ScTl2Te2 | PBE | optimized geometry

```
ScTl2Te2
1.0
4.048 0.000 0.756
2.024 3.569 0.377
-0.001 -1.031 11.222
Te Tl Sc
2 2 1
Cartesian
3.351 0.077 4.489
2.721 2.461 7.866
3.805 2.399 2.056
2.266 0.140 10.299
1.012 1.269 5.800
```

Properties
As for the symmetry: No. 12. The value obtained for the total energy is -20.60 eV per cell. Its magnetic moment is 0.00 Bohr magnetons per cell. The calculation puts the energy relative to the elements, uncorrected at -0.65 eV per atom. The excess energy over the best structure of this formula in the dataset is 0 meV/atom.


no.,density of states at the Fermi level (states/eV per atom)
1,0.838
2,0.825
3,0.270